[1]
DFT (PBEsol) results for crystalline Cs3SiS at its relaxed geometry.

## Properties
As for the density of states at the Fermi level: 0.48 states/eV/f.u. As for the size of the total moment: 3.02 μB per cell. The value obtained for the formation energy without anion corrections is -0.081 eV per atom. Its theoretical density is 2.67 g/cm3. For the uncorrected energy, the calculation gives -2.673 eV per atom. The calculation puts the energy above the most stable polymorph in this dataset at 0.00 kcal/mol of atoms.

abc: 6.5831 6.5831 6.5831
angles: 90.00 90.00 90.00
With the nearest neighbours (Å) after each atom.
Atoms (fractional coordinates):
Cs1 0.0000 0.5000 0.0000  2 S 3.29
Cs2 0.0000 0.0000 0.5000  2 S 3.29
Cs3 0.5000 0.0000 0.0000  2 S 3.29
S1 0.0000 0.0000 0.0000  6 Cs 3.29
Si1 0.5000 0.5000 0.5000  12 Cs 4.65

---

[2]
DFT (PBEsol) results for crystalline CsTbSiS4 at its relaxed geometry.

## Properties
As for the density of states at the Fermi level: 0.00 states/eV/f.u. As for the size of the total moment: 0.00 μB per cell. The value obtained for the formation energy without anion corrections is -1.483 eV per atom. Its theoretical density is 4.08 g/cm3. For the uncorrected energy, the calculation gives -5.659 eV per atom.

abc: 6.3054 6.5998 17.5400
angles: 90.00 90.00 90.00
With the nearest neighbours (Å) after each atom.
Atoms (fractional coordinates):
Cs1 0.4855 0.4918 0.9682  8 S 3.40-3.73
Cs2 0.0145 0.5082 0.4682  8 S 3.40-3.73
Cs3 0.9855 0.0082 0.0318  8 S 3.40-3.73
Cs4 0.5145 0.9918 0.5318  8 S 3.40-3.73
Tb1 0.2929 0.4801 0.2281  7 S 2.77-2.92
Tb2 0.2071 0.5199 0.7281  7 S 2.77-2.92
Tb3 0.7929 0.0199 0.7719  7 S 2.77-2.92
Tb4 0.7071 0.9801 0.2719  7 S 2.77-2.92
Si1 0.7911 0.5172 0.1675  4 S 2.10-2.14
Si2 0.7089 0.4828 0.6675  4 S 2.10-2.14
Si3 0.2911 0.9828 0.8325  4 S 2.10-2.14
Si4 0.2089 0.0172 0.3325  4 S 2.10-2.14
S1 0.0567 0.5135 0.0952  1 Si 2.10
S2 0.4433 0.4865 0.5952  1 Si 2.10
S3 0.5567 0.9865 0.9048  1 Si 2.10
S4 0.9433 0.0135 0.4048  1 Si 2.10
S5 0.6088 0.4256 0.7810  1 Si 2.12
S6 0.8912 0.5744 0.2810  1 Si 2.12
S7 0.1088 0.0744 0.2190  1 Si 2.12
S8 0.3912 0.9256 0.7190  1 Si 2.12
S9 0.5650 0.7509 0.1461  1 Si 2.13
S10 0.9350 0.2491 0.6461  1 Si 2.13
S11 0.0650 0.7491 0.8539  1 Si 2.13
S12 0.4350 0.2509 0.3539  1 Si 2.13
S13 0.6034 0.2495 0.1550  1 Si 2.14
S14 0.8966 0.7505 0.6550  1 Si 2.14
S15 0.1034 0.2505 0.8450  1 Si 2.14
S16 0.3966 0.7495 0.3450  1 Si 2.14

---

[3]
DFT (PBEsol) results for crystalline Cs3TaS4 at its relaxed geometry.

## Properties
As for the density of states at the Fermi level: 0.00 states/eV/f.u. As for the size of the total moment: 0.00 μB per cell. The value obtained for the formation energy without anion corrections is -1.309 eV per atom. Its theoretical density is 4.22 g/cm3. For the uncorrected energy, the calculation gives -5.424 eV per atom.

abc: 9.8414 9.9240 11.4130
angles: 90.00 90.00 90.00
With the nearest neighbours (Å) after each atom.
Atoms (fractional coordinates):
Cs1 0.0486 0.2909 0.9594  7 S 3.43-3.73
Cs2 0.5486 0.2091 0.9594  7 S 3.43-3.73
Cs3 0.4514 0.7909 0.4594  7 S 3.43-3.73
Cs4 0.9514 0.7091 0.0406  7 S 3.43-3.73
Cs5 0.8535 0.9170 0.7500  5 S 3.41-3.67
Cs6 0.3535 0.5830 0.7500  5 S 3.41-3.67
Cs7 0.6465 0.4170 0.2500  5 S 3.41-3.67
Cs8 0.1465 0.0830 0.2500  5 S 3.41-3.67
Cs9 0.9514 0.7091 0.4594  7 S 3.43-3.73
Cs10 0.5486 0.2091 0.5406  7 S 3.43-3.73
Cs11 0.4514 0.7909 0.0406  7 S 3.43-3.73
Cs12 0.0486 0.2909 0.5406  7 S 3.43-3.73
Ta1 0.2227 0.5160 0.2500  4 S 2.27-2.28
Ta2 0.7227 0.9840 0.2500  4 S 2.27-2.28
Ta3 0.2773 0.0160 0.7500  4 S 2.27-2.28
Ta4 0.7773 0.4840 0.7500  4 S 2.27-2.28
S1 0.7935 0.2557 0.7500  1 Ta 2.27
S2 0.2935 0.2443 0.7500  1 Ta 2.27
S3 0.7065 0.7557 0.2500  1 Ta 2.27
S4 0.2065 0.7443 0.2500  1 Ta 2.27
S5 0.9903 0.5733 0.7500  1 Ta 2.28
S6 0.4903 0.9267 0.7500  1 Ta 2.28
S7 0.5097 0.0733 0.2500  1 Ta 2.28
S8 0.0097 0.4267 0.2500  1 Ta 2.28
S9 0.3348 0.4520 0.4146  1 Ta 2.27
S10 0.8348 0.0480 0.0854  1 Ta 2.27
S11 0.1652 0.9520 0.5854  1 Ta 2.27
S12 0.6652 0.5480 0.9146  1 Ta 2.27
S13 0.6652 0.5480 0.5854  1 Ta 2.27
S14 0.3348 0.4520 0.0854  1 Ta 2.27
S15 0.8348 0.0480 0.4146  1 Ta 2.27
S16 0.1652 0.9520 0.9146  1 Ta 2.27

---

[4]
DFT (PBEsol) results for crystalline Cs3TcS at its relaxed geometry.

## Properties
As for the density of states at the Fermi level: 9.85 states/eV/f.u. As for the size of the total moment: 0.01 μB per cell. The value obtained for the formation energy without anion corrections is 0.726 eV per atom. Its theoretical density is 5.32 g/cm3. For the uncorrected energy, the calculation gives -2.970 eV per atom.

abc: 5.4856 5.4856 5.4856
angles: 90.00 90.00 90.00
With the nearest neighbours (Å) after each atom.
Atoms (fractional coordinates):
Cs1 0.0000 0.5000 0.0000  2 Tc 2.74
Cs2 0.0000 0.0000 0.5000  2 Tc 2.74
Cs3 0.5000 0.0000 0.0000  2 Tc 2.74
S1 0.5000 0.5000 0.5000  12 Cs 3.88
Tc1 0.0000 0.0000 0.0000  6 Cs 2.74

---

[5]
DFT (PBEsol) results for crystalline CsTeS3 at its relaxed geometry.

## Properties
As for the density of states at the Fermi level: 7.11 states/eV/f.u. As for the size of the total moment: 0.00 μB per cell. The value obtained for the formation energy without anion corrections is 1.378 eV per atom. Its theoretical density is 3.89 g/cm3. For the uncorrected energy, the calculation gives -2.147 eV per atom.

abc: 5.3395 5.3395 5.3395
angles: 90.00 90.00 90.00
With the nearest neighbours (Å) after each atom.
Atoms (fractional coordinates):
Cs1 0.0000 0.0000 0.0000  6 S 2.67
S1 0.0000 0.5000 0.0000  2 Cs 2.67
S2 0.0000 0.0000 0.5000  2 Cs 2.67
S3 0.5000 0.0000 0.0000  2 Cs 2.67
Te1 0.5000 0.5000 0.5000  12 S 3.78

---

[6]
DFT (PBEsol) results for crystalline CsTiS2 at its relaxed geometry.

## Properties
As for the density of states at the Fermi level: 2.49 states/eV/f.u. As for the size of the total moment: 0.88 μB per cell. The value obtained for the formation energy without anion corrections is -0.336 eV per atom. Its theoretical density is 2.73 g/cm3. For the uncorrected energy, the calculation gives -4.844 eV per atom.

abc: 4.4099 4.4099 9.1938
angles: 76.12 76.12 60.00
With the nearest neighbours (Å) after each atom.
Atoms (fractional coordinates):
Cs1 0.5000 0.5000 0.5000  6 S 3.39
S1 0.9179 0.9179 0.2462  1 Ti 2.17
S2 0.0821 0.0821 0.7538  1 Ti 2.17
Ti1 0.0000 0.0000 0.0000  2 S 2.17

---

[7]
DFT (PBEsol) results for crystalline Cs2Ti2S9 at its relaxed geometry.

## Properties
As for the size of the total moment: 0.00 μB per cell. The value obtained for the formation energy without anion corrections is -1.024 eV per atom. Its theoretical density is 3.13 g/cm3. For the uncorrected energy, the calculation gives -5.485 eV per atom.

abc: 10.1836 10.1836 10.1836
angles: 83.30 83.30 83.30
With the nearest neighbours (Å) after each atom.
Atoms (fractional coordinates):
Cs1 0.6614 0.6614 0.6614  9 S 3.31-3.67
Cs2 0.7839 0.1729 0.4401  7 S 3.46-3.84
Cs3 0.1729 0.4401 0.7839  7 S 3.46-3.84
Cs4 0.2346 0.2346 0.2346  9 S 3.49-3.82
Cs5 0.4401 0.7839 0.1729  7 S 3.46-3.84
Cs6 0.9967 0.9967 0.9967  6 S 3.32-3.49
Ti1 0.5262 0.1719 0.8685  6 S 2.35-2.50
Ti2 0.7291 0.3315 0.9952  7 S 2.37-2.60
Ti3 0.1719 0.8685 0.5262  6 S 2.35-2.50
Ti4 0.3315 0.9952 0.7291  7 S 2.37-2.60
Ti5 0.9952 0.7291 0.3315  7 S 2.37-2.60
Ti6 0.8685 0.5262 0.1719  6 S 2.35-2.50
S1 0.3057 0.1188 0.9149  2 Ti 2.35-2.37
S2 0.8975 0.5039 0.4015  1 S 2.07
S3 0.7833 0.1935 0.8200  1 S 2.06
S4 0.5095 0.3566 0.7042  1 S 2.07
S5 0.1935 0.8200 0.7833  1 S 2.06
S6 0.7779 0.8334 0.3853  1 S 2.06
S7 0.5553 0.3337 0.1779  1 S 2.07
S8 0.1539 0.0975 0.5968  1 S 2.07
S9 0.1779 0.5553 0.3337  1 S 2.07
S10 0.7084 0.5750 0.0138  1 S 2.07
S11 0.5750 0.0138 0.7084  1 S 2.07
S12 0.1188 0.9149 0.3057  2 Ti 2.35-2.37
S13 0.3566 0.7042 0.5095  1 S 2.07
S14 0.8911 0.6438 0.9513  1 S 2.07
S15 0.9149 0.3057 0.1188  2 Ti 2.35-2.37
S16 0.7042 0.5095 0.3566  1 S 2.07
S17 0.9513 0.8911 0.6438  1 S 2.07
S18 0.6438 0.9513 0.8911  1 S 2.07
S19 0.0975 0.5968 0.1539  1 S 2.07
S20 0.5039 0.4015 0.8975  1 S 2.07
S21 0.8334 0.3853 0.7779  1 S 2.06
S22 0.8200 0.7833 0.1935  1 S 2.06
S23 0.4015 0.8975 0.5039  1 S 2.07
S24 0.3853 0.7779 0.8334  1 S 2.06
S25 0.0138 0.7084 0.5750  1 S 2.07
S26 0.3337 0.1779 0.5553  1 S 2.07
S27 0.5968 0.1539 0.0975  1 S 2.07

---

[8]
DFT (PBEsol) results for crystalline CsV5S8 at its relaxed geometry.

## Properties
As for the density of states at the Fermi level: 9.16 states/eV/f.u. As for the size of the total moment: 0.94 μB per cell. The value obtained for the formation energy without anion corrections is -1.078 eV per atom. Its theoretical density is 4.61 g/cm3. For the uncorrected energy, the calculation gives -7.092 eV per atom.

abc: 3.2422 8.4531 8.8723
angles: 103.88 100.53 90.00
With the nearest neighbours (Å) after each atom.
Atoms (fractional coordinates):
Cs1 0.5000 0.5000 0.0000  10 S 3.24-3.26, 2 Cs 3.24
V1 0.0000 0.0000 0.0000  6 S 2.38
V2 0.6483 0.0009 0.2967  5 S 2.23-2.45
V3 0.7102 0.3579 0.4204  6 S 2.24-2.49
V4 0.2898 0.6421 0.5796  6 S 2.24-2.49
V5 0.3517 0.9991 0.7033  5 S 2.23-2.45
S1 0.5737 0.1807 0.1473  4 V 2.23-2.49
S2 0.0883 0.8252 0.1767  3 V 2.27-2.38
S3 0.1627 0.5036 0.3255  3 V 2.24-2.31
S4 0.2413 0.1599 0.4827  5 V 2.45-2.61
S5 0.7587 0.8401 0.5173  5 V 2.45-2.61
S6 0.8373 0.4964 0.6745  3 V 2.24-2.31
S7 0.9117 0.1748 0.8233  3 V 2.27-2.38
S8 0.4263 0.8193 0.8527  4 V 2.23-2.49